Entry 1:
Below is Tb5Tl2Si2 after structural relaxation, with properties calculated at the PBE level.

a = 8.8435 Å, b = 8.8435 Å, c = 7.7069 Å
α = 90.00°, β = 90.00°, γ = 51.44°
Last column: nearest neighbours and their distance in Å.
Sites, in units of the cell vectors:
Tb: 0.0000 0.0000 0.0000  4 Si 3.06-3.08, 4 Tb 3.42
Tb: 0.0592 0.6930 0.6779  3 Si 2.94-3.07, 3 Tl 3.16-3.25
Tb: 0.1930 0.5592 0.1779  3 Si 2.94-3.07, 3 Tl 3.16-3.25
Tb: 0.3070 0.9408 0.6779  3 Si 2.94-3.07, 3 Tl 3.16-3.25
Tb: 0.4408 0.8070 0.1779  3 Si 2.94-3.07, 3 Tl 3.16-3.25
Tb: 0.5000 0.5000 0.5000  4 Si 3.06-3.08, 4 Tb 3.42
Tb: 0.5592 0.1930 0.8221  3 Si 2.94-3.07, 3 Tl 3.16-3.25
Tb: 0.6930 0.0592 0.3221  3 Si 2.94-3.07, 3 Tl 3.16-3.25
Tb: 0.8070 0.4408 0.8221  3 Si 2.94-3.07, 3 Tl 3.16-3.25
Tb: 0.9408 0.3070 0.3221  3 Si 2.94-3.07, 3 Tl 3.16-3.25
Tl: 0.2210 0.2210 0.0000  7 Tb 3.16-3.52
Tl: 0.2790 0.2790 0.5000  7 Tb 3.16-3.52
Tl: 0.7210 0.7210 0.5000  7 Tb 3.16-3.52
Tl: 0.7790 0.7790 0.0000  7 Tb 3.16-3.52
Si: 0.1175 0.8825 0.3796  1 Si 2.59
Si: 0.3825 0.6175 0.8796  1 Si 2.59
Si: 0.6175 0.3825 0.1204  1 Si 2.59
Si: 0.8825 0.1175 0.6204  1 Si 2.59

D(E_F) in states/eV/atom: 0.750
Formation energy without anion corrections in meV per atom: -550.7
Magnetic moment in μB per formula unit: 0.0
Crystal system: orthorhombic
Calculated total energy in eV per atom: -4.854


Entry 2:
Below is Tb7TlSi5 after structural relaxation, with properties calculated at the PBE level.

a = 7.9056 Å, b = 7.9056 Å, c = 7.9056 Å
α = 135.94°, β = 93.40°, γ = 102.83°
Last column: nearest neighbours and their distance in Å.
Sites, in units of the cell vectors:
Tb: 0.0000 0.0000 0.0000  1 Tl 3.13, 2 Tb 3.28, 4 Si 3.33
Tb: 0.3317 0.6573 0.6745  5 Si 2.85-3.04
Tb: 0.3701 0.3701 0.0000  6 Si 2.97-3.08, 1 Tl 3.08
Tb: 0.4300 0.0989 0.3312  5 Si 2.88-3.18, 1 Tb 3.15
Tb: 0.7677 0.0989 0.6688  5 Si 2.88-3.18, 1 Tb 3.15
Tb: 0.8588 0.3588 0.5000  4 Si 2.90, 2 Tb 3.15
Tb: 0.9828 0.6573 0.3255  5 Si 2.85-3.04
Tl: 0.6824 0.6824 0.0000  4 Tb 3.08-3.44
Si: 0.1260 0.1775 0.5325  1 Si 2.47
Si: 0.1260 0.5936 0.9485  1 Si 2.47
Si: 0.3737 0.8737 0.5000  6 Tb 2.85-2.97
Si: 0.6450 0.1775 0.0515  1 Si 2.47
Si: 0.6450 0.5936 0.4675  1 Si 2.47

D(E_F) in states/eV/atom: 0.839
Formation energy without anion corrections in meV per atom: -413.2
Magnetic moment in μB per formula unit: 0.0
Crystal system: orthorhombic
Calculated total energy in eV per atom: -5.174


Question: What is the calculated total energy in the second record?
Answer: -5.174 eV per atom